# CdIn9Pb2, optimized geometry, DFT PBE-GGA
data_CdIn9Pb2
_chemical_formula_sum 'Cd1 In9 Pb2'
_cell_length_a 5.0934
_cell_length_b 5.0934
_cell_length_c 12.8594
_cell_angle_alpha 90.00
_cell_angle_beta 90.00
_cell_angle_gamma 90.00
_space_group_name_H-M_alt 'P 4/m m m'
_space_group_IT_number 123
_space_group_name_Hall '-P 4 2'
loop_
_atom_site_label
_atom_site_type_symbol
_atom_site_fract_x
_atom_site_fract_y
_atom_site_fract_z
_atom_site_occupancy
Cd1 Cd 0.0000 0.0000 0.0000 1
In1 In 0.0000 0.5000 0.1601 1
In2 In 0.0000 0.5000 0.5000 1
In3 In 0.5000 0.5000 0.0000 1
In4 In 0.5000 0.5000 0.3321 1
Pb1 Pb 0.0000 0.0000 0.3321 1
# - theoretical density (g cm⁻³) = 7.77
# - DOS at the Fermi energy (states/eV/atom) = 0.347
# - electronic total energy (eV/atom) = -2.72